No. 1
A plane-wave DFT calculation with GGA-PBE was carried out for a geometry-optimized Sr2TmMg12Ag3 structure.

Unit cell a=9.1172 b=9.1172 c=9.1172 alpha=59.07 beta=59.07 gamma=59.07
Atoms (fractional coordinates):
Sr (0.5841, 0.5841, 0.5841)
Sr (0.4159, 0.4159, 0.4159)
Tm (0.0000, 0.0000, 0.0000)
Mg (0.2372, 0.2372, 0.8640)
Mg (0.8355, 0.8355, 0.4575)
Mg (0.4575, 0.8355, 0.8355)
Mg (0.8640, 0.2372, 0.2372)
Mg (0.8355, 0.4575, 0.8355)
Mg (0.2372, 0.8640, 0.2372)
Mg (0.7628, 0.7628, 0.1360)
Mg (0.1645, 0.1645, 0.5425)
Mg (0.5425, 0.1645, 0.1645)
Mg (0.1360, 0.7628, 0.7628)
Mg (0.1645, 0.5425, 0.1645)
Mg (0.7628, 0.1360, 0.7628)
Ag (0.5000, 0.0000, 0.0000)
Ag (0.0000, 0.5000, 0.0000)
Ag (0.0000, 0.0000, 0.5000)

## Properties
ΔH_f (0 K)	2.90	eV/f.u.
theoretical density	3.0	g cm⁻³

No. 2
A plane-wave DFT calculation with GGA-PBE was carried out for a geometry-optimized SrYMgAg2 structure.

Unit cell a=5.4872 b=5.7827 c=5.4872 alpha=90.00 beta=90.00 gamma=90.00
Atoms (fractional coordinates):
Y (0.0000, 0.0000, 0.0000)
Sr (0.5000, 0.5000, 0.5000)
Mg (0.0000, 0.5000, 0.0000)
Ag (0.0000, 0.0000, 0.5000)
Ag (0.5000, 0.0000, 0.0000)

## Properties
ΔH_f (0 K)	1.96	eV/f.u.
theoretical density	4.0	g cm⁻³